#one
KB3I: optimized geometry, PBE-GGA.

```
data_KB3I
_symmetry_space_group_name_H-M 'P m -3 m'
_symmetry_Int_Tables_number 221
_symmetry_space_group_name_Hall '-P 4 2 3'
_cell_length_a 5.364
_cell_length_b 5.364
_cell_length_c 5.364
_cell_angle_alpha 90.00
_cell_angle_beta 90.00
_cell_angle_gamma 90.00
loop_
_atom_site_label
_atom_site_fract_x
_atom_site_fract_y
_atom_site_fract_z
K1 0.000 0.000 0.000
B1 0.000 0.000 0.500
I1 0.500 0.500 0.500
```

Output
D(E_F)   0.7003 states/eV/atom


#two
KB3I: optimized geometry, PBE-GGA.

```
data_KB3I
_symmetry_space_group_name_H-M 'P m -3 m'
_symmetry_Int_Tables_number 221
_symmetry_space_group_name_Hall '-P 4 2 3'
_cell_length_a 4.742
_cell_length_b 4.742
_cell_length_c 4.742
_cell_angle_alpha 90.00
_cell_angle_beta 90.00
_cell_angle_gamma 90.00
loop_
_atom_site_label
_atom_site_fract_x
_atom_site_fract_y
_atom_site_fract_z
K1 0.000 0.000 0.000
B1 0.000 0.500 0.500
I1 0.500 0.500 0.500
```

Output
D(E_F)   0.6931 states/eV/atom


Stability, highest: #two


#one
KBIO2: optimized geometry, PBE-GGA.

```
data_KBIO2
_symmetry_space_group_name_H-M 'P 4/m m m'
_symmetry_Int_Tables_number 123
_symmetry_space_group_name_Hall '-P 4 2'
_cell_length_a 4.898
_cell_length_b 4.898
_cell_length_c 7.216
_cell_angle_alpha 90.00
_cell_angle_beta 90.00
_cell_angle_gamma 90.00
loop_
_atom_site_label
_atom_site_fract_x
_atom_site_fract_y
_atom_site_fract_z
K1 0.000 0.000 0.000
B1 0.500 0.500 0.500
I1 0.000 0.000 0.500
O1 0.000 0.500 0.000
```

Output
D(E_F)   0.7130 states/eV/atom


#two
KBIO2: optimized geometry, PBE-GGA.

```
data_KBIO2
_symmetry_space_group_name_H-M 'P 4/m m m'
_symmetry_Int_Tables_number 123
_symmetry_space_group_name_Hall '-P 4 2'
_cell_length_a 4.112
_cell_length_b 4.112
_cell_length_c 4.734
_cell_angle_alpha 90.00
_cell_angle_beta 90.00
_cell_angle_gamma 90.00
loop_
_atom_site_label
_atom_site_fract_x
_atom_site_fract_y
_atom_site_fract_z
K1 0.000 0.000 0.000
B1 0.500 0.500 0.500
I1 0.500 0.500 0.000
O1 0.000 0.500 0.500
```

Output
D(E_F)   0.9393 states/eV/atom


Stability, highest: #two


#one
KBSb2I: optimized geometry, PBE-GGA.

```
data_KBSb2I
_symmetry_space_group_name_H-M 'P 4/m m m'
_symmetry_Int_Tables_number 123
_symmetry_space_group_name_Hall '-P 4 2'
_cell_length_a 4.736
_cell_length_b 4.736
_cell_length_c 9.338
_cell_angle_alpha 90.00
_cell_angle_beta 90.00
_cell_angle_gamma 90.00
loop_
_atom_site_label
_atom_site_fract_x
_atom_site_fract_y
_atom_site_fract_z
K1 0.000 0.000 0.000
B1 0.500 0.500 0.500
Sb1 0.000 0.500 0.500
I1 0.500 0.500 0.000
```

Output
D(E_F)   0.5533 states/eV/atom


#two
KBSb2I: optimized geometry, PBE-GGA.

```
data_KBSb2I
_symmetry_space_group_name_H-M 'P 4/m m m'
_symmetry_Int_Tables_number 123
_symmetry_space_group_name_Hall '-P 4 2'
_cell_length_a 6.266
_cell_length_b 6.266
_cell_length_c 6.298
_cell_angle_alpha 90.00
_cell_angle_beta 90.00
_cell_angle_gamma 90.00
loop_
_atom_site_label
_atom_site_fract_x
_atom_site_fract_y
_atom_site_fract_z
K1 0.000 0.000 0.000
B1 0.500 0.500 0.500
Sb1 0.000 0.500 0.000
I1 0.000 0.000 0.500
```

Output
D(E_F)   1.4204 states/eV/atom


Stability, highest: #one


#one
KBTe2I: optimized geometry, PBE-GGA.

```
data_KBTe2I
_symmetry_space_group_name_H-M 'P 4/m m m'
_symmetry_Int_Tables_number 123
_symmetry_space_group_name_Hall '-P 4 2'
_cell_length_a 4.780
_cell_length_b 4.780
_cell_length_c 8.256
_cell_angle_alpha 90.00
_cell_angle_beta 90.00
_cell_angle_gamma 90.00
loop_
_atom_site_label
_atom_site_fract_x
_atom_site_fract_y
_atom_site_fract_z
K1 0.000 0.000 0.000
B1 0.500 0.500 0.500
Te1 0.000 0.500 0.500
I1 0.500 0.500 0.000
```

Output
D(E_F)   0.8540 states/eV/atom


#two
KBTe2I: optimized geometry, PBE-GGA.

```
data_KBTe2I
_symmetry_space_group_name_H-M 'P 4/m m m'
_symmetry_Int_Tables_number 123
_symmetry_space_group_name_Hall '-P 4 2'
_cell_length_a 6.522
_cell_length_b 6.522
_cell_length_c 6.449
_cell_angle_alpha 90.00
_cell_angle_beta 90.00
_cell_angle_gamma 90.00
loop_
_atom_site_label
_atom_site_fract_x
_atom_site_fract_y
_atom_site_fract_z
K1 0.000 0.000 0.000
B1 0.500 0.500 0.500
Te1 0.000 0.500 0.000
I1 0.000 0.000 0.500
```

Output
D(E_F)   1.0804 states/eV/atom


Stability, highest: #one


#one
LaB2I: optimized geometry, PBE-GGA.

```
data_LaB2I
_symmetry_space_group_name_H-M 'I -4 2 d'
_symmetry_Int_Tables_number 122
_symmetry_space_group_name_Hall 'I -4 2bw'
_cell_length_a 6.703
_cell_length_b 6.703
_cell_length_c 7.317
_cell_angle_alpha 90.00
_cell_angle_beta 90.00
_cell_angle_gamma 90.00
loop_
_atom_site_label
_atom_site_fract_x
_atom_site_fract_y
_atom_site_fract_z
La1 0.000 0.000 0.000
B1 0.197 0.250 0.625
I1 0.000 0.000 0.500
```

Output
D(E_F)   0.3297 states/eV/atom


#two
LaB2I: optimized geometry, PBE-GGA.

```
data_LaB2I
_symmetry_space_group_name_H-M 'F m -3 m'
_symmetry_Int_Tables_number 225
_symmetry_space_group_name_Hall '-F 4 2 3'
_cell_length_a 6.804
_cell_length_b 6.804
_cell_length_c 6.804
_cell_angle_alpha 90.00
_cell_angle_beta 90.00
_cell_angle_gamma 90.00
loop_
_atom_site_label
_atom_site_fract_x
_atom_site_fract_y
_atom_site_fract_z
La1 0.000 0.000 0.000
B1 0.250 0.250 0.250
I1 0.000 0.000 0.500
```

Output
D(E_F)   0.5311 states/eV/atom


Stability, highest: #one


#one
LaBSb2I: optimized geometry, PBE-GGA.

```
data_LaBSb2I
_symmetry_space_group_name_H-M 'P 4/m m m'
_symmetry_Int_Tables_number 123
_symmetry_space_group_name_Hall '-P 4 2'
_cell_length_a 6.164
_cell_length_b 6.164
_cell_length_c 6.182
_cell_angle_alpha 90.00
_cell_angle_beta 90.00
_cell_angle_gamma 90.00
loop_
_atom_site_label
_atom_site_fract_x
_atom_site_fract_y
_atom_site_fract_z
La1 0.000 0.000 0.000
B1 0.500 0.500 0.500
Sb1 0.000 0.500 0.000
I1 0.000 0.000 0.500
```

Output
D(E_F)   1.0590 states/eV/atom


#two
LaBSb2I: optimized geometry, PBE-GGA.

```
data_LaBSb2I
_symmetry_space_group_name_H-M 'P 4/m m m'
_symmetry_Int_Tables_number 123
_symmetry_space_group_name_Hall '-P 4 2'
_cell_length_a 4.844
_cell_length_b 4.844
_cell_length_c 5.697
_cell_angle_alpha 90.00
_cell_angle_beta 90.00
_cell_angle_gamma 90.00
loop_
_atom_site_label
_atom_site_fract_x
_atom_site_fract_y
_atom_site_fract_z
La1 0.000 0.000 0.000
B1 0.500 0.500 0.500
Sb1 0.000 0.500 0.500
I1 0.500 0.500 0.000
```

Output
D(E_F)   0.6978 states/eV/atom


Stability, highest: #two


#one
Li3BI: optimized geometry, PBE-GGA.

```
data_Li3BI
_symmetry_space_group_name_H-M 'P m -3 m'
_symmetry_Int_Tables_number 221
_symmetry_space_group_name_Hall '-P 4 2 3'
_cell_length_a 5.084
_cell_length_b 5.084
_cell_length_c 5.084
_cell_angle_alpha 90.00
_cell_angle_beta 90.00
_cell_angle_gamma 90.00
loop_
_atom_site_label
_atom_site_fract_x
_atom_site_fract_y
_atom_site_fract_z
Li1 0.000 0.000 0.500
B1 0.500 0.500 0.500
I1 0.000 0.000 0.000
```

Output
D(E_F)   0.7247 states/eV/atom


#two
Li3BI: optimized geometry, PBE-GGA.

```
data_Li3BI
_symmetry_space_group_name_H-M 'P m -3 m'
_symmetry_Int_Tables_number 221
_symmetry_space_group_name_Hall '-P 4 2 3'
_cell_length_a 4.653
_cell_length_b 4.653
_cell_length_c 4.653
_cell_angle_alpha 90.00
_cell_angle_beta 90.00
_cell_angle_gamma 90.00
loop_
_atom_site_label
_atom_site_fract_x
_atom_site_fract_y
_atom_site_fract_z
Li1 0.000 0.000 0.500
B1 0.000 0.000 0.000
I1 0.500 0.500 0.500
```

Output
D(E_F)   0.0190 states/eV/atom


Stability, highest: #two


#one
LiBI2N: optimized geometry, PBE-GGA.

```
data_LiBI2N
_symmetry_space_group_name_H-M 'P 4/m m m'
_symmetry_Int_Tables_number 123
_symmetry_space_group_name_Hall '-P 4 2'
_cell_length_a 6.485
_cell_length_b 6.485
_cell_length_c 2.821
_cell_angle_alpha 90.00
_cell_angle_beta 90.00
_cell_angle_gamma 90.00
loop_
_atom_site_label
_atom_site_fract_x
_atom_site_fract_y
_atom_site_fract_z
Li1 0.000 0.000 0.000
B1 0.500 0.500 0.500
I1 0.000 0.500 0.500
N1 0.500 0.500 0.000
```

Output
D(E_F)   0.0799 states/eV/atom


#two
LiBI2N: optimized geometry, PBE-GGA.

```
data_LiBI2N
_symmetry_space_group_name_H-M 'P 4/m m m'
_symmetry_Int_Tables_number 123
_symmetry_space_group_name_Hall '-P 4 2'
_cell_length_a 5.315
_cell_length_b 5.315
_cell_length_c 3.749
_cell_angle_alpha 90.00
_cell_angle_beta 90.00
_cell_angle_gamma 90.00
loop_
_atom_site_label
_atom_site_fract_x
_atom_site_fract_y
_atom_site_fract_z
Li1 0.000 0.000 0.000
B1 0.500 0.500 0.500
I1 0.000 0.500 0.000
N1 0.000 0.000 0.500
```

Output
D(E_F)   0.7906 states/eV/atom


Stability, highest: #one


#one
LiBI2O: optimized geometry, PBE-GGA.

```
data_LiBI2O
_symmetry_space_group_name_H-M 'P 4/m m m'
_symmetry_Int_Tables_number 123
_symmetry_space_group_name_Hall '-P 4 2'
_cell_length_a 5.708
_cell_length_b 5.708
_cell_length_c 3.111
_cell_angle_alpha 90.00
_cell_angle_beta 90.00
_cell_angle_gamma 90.00
loop_
_atom_site_label
_atom_site_fract_x
_atom_site_fract_y
_atom_site_fract_z
Li1 0.000 0.000 0.000
B1 0.500 0.500 0.500
I1 0.000 0.500 0.500
O1 0.500 0.500 0.000
```

Output
D(E_F)   0.1819 states/eV/atom


#two
LiBI2O: optimized geometry, PBE-GGA.

```
data_LiBI2O
_symmetry_space_group_name_H-M 'P 4/m m m'
_symmetry_Int_Tables_number 123
_symmetry_space_group_name_Hall '-P 4 2'
_cell_length_a 5.551
_cell_length_b 5.551
_cell_length_c 3.480
_cell_angle_alpha 90.00
_cell_angle_beta 90.00
_cell_angle_gamma 90.00
loop_
_atom_site_label
_atom_site_fract_x
_atom_site_fract_y
_atom_site_fract_z
Li1 0.000 0.000 0.000
B1 0.500 0.500 0.500
I1 0.000 0.500 0.000
O1 0.000 0.000 0.500
```

Output
D(E_F)   1.2133 states/eV/atom


Stability, highest: #one


#one
LiBSb2I: optimized geometry, PBE-GGA.

```
data_LiBSb2I
_symmetry_space_group_name_H-M 'P 4/m m m'
_symmetry_Int_Tables_number 123
_symmetry_space_group_name_Hall '-P 4 2'
_cell_length_a 4.575
_cell_length_b 4.575
_cell_length_c 9.221
_cell_angle_alpha 90.00
_cell_angle_beta 90.00
_cell_angle_gamma 90.00
loop_
_atom_site_label
_atom_site_fract_x
_atom_site_fract_y
_atom_site_fract_z
Li1 0.000 0.000 0.000
B1 0.500 0.500 0.500
Sb1 0.000 0.500 0.500
I1 0.500 0.500 0.000
```

Output
D(E_F)   0.7893 states/eV/atom


#two
LiBSb2I: optimized geometry, PBE-GGA.

```
data_LiBSb2I
_symmetry_space_group_name_H-M 'P 4/m m m'
_symmetry_Int_Tables_number 123
_symmetry_space_group_name_Hall '-P 4 2'
_cell_length_a 4.929
_cell_length_b 4.929
_cell_length_c 5.556
_cell_angle_alpha 90.00
_cell_angle_beta 90.00
_cell_angle_gamma 90.00
loop_
_atom_site_label
_atom_site_fract_x
_atom_site_fract_y
_atom_site_fract_z
Li1 0.000 0.000 0.000
B1 0.500 0.500 0.500
Sb1 0.000 0.500 0.000
I1 0.000 0.000 0.500
```

Output
D(E_F)   0.6779 states/eV/atom


Stability, highest: #one


#one
LiBTe2I: optimized geometry, PBE-GGA.

```
data_LiBTe2I
_symmetry_space_group_name_H-M 'P 4/m m m'
_symmetry_Int_Tables_number 123
_symmetry_space_group_name_Hall '-P 4 2'
_cell_length_a 4.637
_cell_length_b 4.637
_cell_length_c 8.511
_cell_angle_alpha 90.00
_cell_angle_beta 90.00
_cell_angle_gamma 90.00
loop_
_atom_site_label
_atom_site_fract_x
_atom_site_fract_y
_atom_site_fract_z
Li1 0.000 0.000 0.000
B1 0.500 0.500 0.500
Te1 0.000 0.500 0.500
I1 0.500 0.500 0.000
```

Output
D(E_F)   0.6450 states/eV/atom


#two
LiBTe2I: optimized geometry, PBE-GGA.

```
data_LiBTe2I
_symmetry_space_group_name_H-M 'P 4/m m m'
_symmetry_Int_Tables_number 123
_symmetry_space_group_name_Hall '-P 4 2'
_cell_length_a 5.080
_cell_length_b 5.080
_cell_length_c 5.484
_cell_angle_alpha 90.00
_cell_angle_beta 90.00
_cell_angle_gamma 90.00
loop_
_atom_site_label
_atom_site_fract_x
_atom_site_fract_y
_atom_site_fract_z
Li1 0.000 0.000 0.000
B1 0.500 0.500 0.500
Te1 0.000 0.500 0.000
I1 0.000 0.000 0.500
```

Output
D(E_F)   0.8824 states/eV/atom


Stability, highest: #one


#one
Mg2BI2: optimized geometry, PBE-GGA.

```
data_Mg2BI2
_symmetry_space_group_name_H-M 'I 4/m m m'
_symmetry_Int_Tables_number 139
_symmetry_space_group_name_Hall '-I 4 2'
_cell_length_a 4.044
_cell_length_b 4.044
_cell_length_c 18.062
_cell_angle_alpha 90.00
_cell_angle_beta 90.00
_cell_angle_gamma 90.00
loop_
_atom_site_label
_atom_site_fract_x
_atom_site_fract_y
_atom_site_fract_z
Mg1 0.000 0.500 0.250
B1 0.000 0.000 0.000
I1 0.000 0.000 0.400
```

Output
D(E_F)   0.3711 states/eV/atom


#two
Mg2BI2: optimized geometry, PBE-GGA.

```
data_Mg2BI2
_symmetry_space_group_name_H-M 'P 4/m b m'
_symmetry_Int_Tables_number 127
_symmetry_space_group_name_Hall '-P 4 2ab'
_cell_length_a 8.487
_cell_length_b 8.487
_cell_length_c 4.306
_cell_angle_alpha 90.00
_cell_angle_beta 90.00
_cell_angle_gamma 90.00
loop_
_atom_site_label
_atom_site_fract_x
_atom_site_fract_y
_atom_site_fract_z
Mg1 0.116 0.384 0.000
B1 0.000 0.000 0.500
I1 0.227 0.727 0.500
```

Output
D(E_F)   0.3303 states/eV/atom


Stability, highest: #two